Below is a PBEsol-optimized structure of MoPdAu2, with properties calculated at the SCAN level.

For the formation enthalpy at 0 K, the calculation gives 0.184 eV/atom. As for the density of states at the Fermi level: 1.818 states/eV/cell. The value obtained for the calculated volume is 15.818 A^3/atom. Its total magnetic moment is 0.000 μB/f.u.

Cell lengths 4.4728, 4.4728, 4.4728 Å; angles 60.00, 60.00, 60.00 degrees
With the nearest neighbours (Å) after each atom.
Fractional positions:
Mo: 0.0000 0.0000 0.0000  8 Au 2.74
Au: 0.2500 0.2500 0.2500  4 Mo 2.74, 4 Pd 2.74
Au: 0.7500 0.7500 0.7500  4 Mo 2.74, 4 Pd 2.74
Pd: 0.5000 0.5000 0.5000  8 Au 2.74